(1)
DFT (PBE) results for an optimized crystal structure of Sm8CdCo2.

Unit cell a=5.488 b=8.030 c=8.030 alpha=115.23 beta=97.08 gamma=97.08
Atoms (fractional coordinates):
Sm (0.567, 0.336, 0.078)
Sm (0.567, 0.078, 0.336)
Sm (0.199, 0.396, 0.396)
Sm (0.000, 0.253, 0.753)
Sm (0.000, 0.753, 0.253)
Sm (0.801, 0.610, 0.610)
Sm (0.433, 0.928, 0.670)
Sm (0.433, 0.670, 0.928)
Cd (0.000, 0.003, 0.003)
Co (0.500, 0.705, 0.301)
Co (0.500, 0.301, 0.705)

Values from the calculation:
E: -53.2 eV per formula unit
E_form: -28 meV per atom
Crystal system: monoclinic
ρ: 7.64 g/cm3


(2)
DFT (PBE) results for an optimized crystal structure of Sm6CdCo2.

Unit cell a=5.089 b=5.724 c=9.151 alpha=79.00 beta=90.00 gamma=116.39
Atoms (fractional coordinates):
Sm (0.967, 0.934, 0.848)
Sm (0.709, 0.418, 0.160)
Sm (0.291, 0.582, 0.840)
Sm (0.664, 0.328, 0.624)
Sm (0.336, 0.672, 0.376)
Sm (0.033, 0.066, 0.152)
Cd (0.000, 0.000, 0.500)
Co (0.611, 0.222, 0.912)
Co (0.389, 0.778, 0.088)

Values from the calculation:
E: -44.0 eV per formula unit
E_form: -57 meV per atom
Crystal system: monoclinic
ρ: 8.06 g/cm3


(3)
DFT (PBE) results for an optimized crystal structure of Sm11Cd9Co4.

Unit cell a=3.667 b=13.195 c=13.195 alpha=112.49 beta=90.00 gamma=90.00
Atoms (fractional coordinates):
Sm (0.000, 0.582, 0.914)
Sm (0.000, 0.418, 0.086)
Sm (0.000, 0.914, 0.582)
Sm (0.000, 0.086, 0.418)
Sm (0.000, 0.626, 0.374)
Sm (0.000, 0.374, 0.626)
Sm (0.000, 0.840, 0.160)
Sm (0.000, 0.160, 0.840)
Sm (0.000, 0.000, 0.000)
Sm (0.000, 0.687, 0.687)
Sm (0.000, 0.313, 0.313)
Cd (0.500, 0.635, 0.159)
Cd (0.500, 0.365, 0.841)
Cd (0.500, 0.159, 0.635)
Cd (0.500, 0.841, 0.365)
Cd (0.500, 0.781, 0.921)
Cd (0.500, 0.219, 0.079)
Cd (0.500, 0.921, 0.781)
Cd (0.500, 0.079, 0.219)
Cd (0.500, 0.500, 0.500)
Co (0.500, 0.547, 0.748)
Co (0.500, 0.453, 0.252)
Co (0.500, 0.748, 0.547)
Co (0.500, 0.252, 0.453)

Values from the calculation:
E: -95.0 eV per formula unit
E_form: -269 meV per atom
Crystal system: orthorhombic
ρ: 8.17 g/cm3


(4)
DFT (PBE) results for an optimized crystal structure of Sm3CdCo2.

Unit cell a=3.814 b=7.320 c=10.647 alpha=90.00 beta=90.00 gamma=90.00
Atoms (fractional coordinates):
Sm (0.500, 0.214, 0.170)
Sm (0.500, 0.209, 0.775)
Sm (0.000, 0.319, 0.461)
Sm (0.500, 0.714, 0.830)
Sm (0.500, 0.709, 0.225)
Sm (0.000, 0.819, 0.539)
Cd (0.000, 0.951, 0.016)
Cd (0.000, 0.451, 0.984)
Co (0.000, 0.982, 0.285)
Co (0.500, 0.027, 0.397)
Co (0.000, 0.482, 0.715)
Co (0.500, 0.527, 0.603)

Values from the calculation:
E: -30.1 eV per formula unit
E_form: -135 meV per atom
Crystal system: orthorhombic
ρ: 7.61 g/cm3